Entry 1:
Computed, not measured: crystalline NbTcGe at its relaxed geometry at the PBE level of DFT.

Results
Energy above the most stable polymorph in this dataset in eV per atom: 0.163
Space-group type: I4/mmm (139)
Calculated volume in Å³/cell: 201.1

abc: 3.9548 3.9548 12.8551
angles: 90.00 90.00 90.00
Positions (direct):
Ge  0.0000  0.0000  0.8631
Ge  0.0000  0.0000  0.1369
Ge  0.5000  0.5000  0.3631
Ge  0.5000  0.5000  0.6369
Tc  0.5000  0.0000  0.5000
Tc  0.0000  0.5000  0.0000
Tc  0.0000  0.5000  0.5000
Tc  0.5000  0.0000  0.0000
Nb  0.5000  0.5000  0.1525
Nb  0.5000  0.5000  0.8475
Nb  0.0000  0.0000  0.6525
Nb  0.0000  0.0000  0.3475



Entry 2:
Computed, not measured: crystalline NbTcGe2 at its relaxed geometry at the PBE level of DFT.

Results
Energy above the most stable polymorph in this dataset in eV per atom: 0.122
Space-group type: C2/c (15)
Calculated volume in Å³/cell: 135.3

abc: 5.1013 6.6260 6.6260
angles: 136.00 100.64 100.64
Positions (direct):
Nb  0.2500  0.1390  0.8610
Nb  0.7500  0.8610  0.1390
Ge  0.3775  0.1367  0.4624
Ge  0.1225  0.5376  0.8633
Ge  0.6225  0.8633  0.5376
Ge  0.8775  0.4624  0.1367
Tc  0.2500  0.5085  0.4915
Tc  0.7500  0.4915  0.5085



Entry 3:
Computed, not measured: crystalline NbTcGe at its relaxed geometry at the PBE level of DFT.

Results
Energy above the most stable polymorph in this dataset in eV per atom: 0.195
Space-group type: Imm2 (44)
Calculated volume in Å³/cell: 194.6

abc: 3.0913 13.9208 4.5219
angles: 90.00 90.00 90.00
Positions (direct):
Nb  0.5000  0.1663  0.1667
Nb  0.0000  0.3337  0.6667
Nb  0.0000  0.6663  0.6667
Nb  0.5000  0.8337  0.1667
Tc  0.5000  0.0000  0.5779
Tc  0.0000  0.0000  0.0809
Tc  0.5000  0.5000  0.5809
Tc  0.0000  0.5000  0.0779
Ge  0.0000  0.8567  0.6652
Ge  0.0000  0.1433  0.6652
Ge  0.5000  0.6433  0.1652
Ge  0.5000  0.3567  0.1652



Entry 4:
Computed, not measured: crystalline NbTcGe at its relaxed geometry at the PBE level of DFT.

Results
Energy above the most stable polymorph in this dataset in eV per atom: 0.184
Space-group type: I4mm (107)
Calculated volume in Å³/cell: 47.2

abc: 3.1908 3.1908 5.1596
angles: 108.01 108.01 90.00
Positions (direct):
Tc  0.2763  0.2763  0.5526
Nb  0.9461  0.9461  0.8921
Ge  0.6276  0.6276  0.2553



Entry 5:
Computed, not measured: crystalline NbTcGe2 at its relaxed geometry at the PBE level of DFT.

Results
Energy above the most stable polymorph in this dataset in eV per atom: 0.092
Space-group type: Fm-3m (225)
Calculated volume in Å³/cell: 62.6

abc: 4.4568 4.4568 4.4568
angles: 60.00 60.00 60.00
Positions (direct):
Nb  0.0000  0.0000  0.0000
Tc  0.5000  0.5000  0.5000
Ge  0.7500  0.7500  0.7500
Ge  0.2500  0.2500  0.2500



Entry 6:
Computed, not measured: crystalline NbTcGe at its relaxed geometry at the PBE level of DFT.

Results
Energy above the most stable polymorph in this dataset in eV per atom: 0.206
Space-group type: Cm (8)
Calculated volume in Å³/cell: 97.5

abc: 2.9279 4.3045 7.7934
angles: 90.00 97.03 90.00
Positions (direct):
Ge  0.7236  0.0000  0.7212
Ge  0.7236  0.5000  0.2212
Tc  0.6861  0.5000  0.5453
Tc  0.6861  0.0000  0.0453
Nb  0.2745  0.0000  0.3760
Nb  0.2745  0.5000  0.8760



Entry 7:
Computed, not measured: crystalline Nb4TcGe3 at its relaxed geometry at the PBE level of DFT.

Results
Space-group type: I4/mcm (140)
Calculated volume in Å³/cell: 262.5

abc: 5.1300 7.5990 7.5990
angles: 83.46 70.27 70.27
Positions (direct):
Nb  0.2250  0.6972  0.8528
Nb  0.0778  0.1472  0.6972
Nb  0.5778  0.6972  0.1472
Nb  0.4222  0.3028  0.8528
Nb  0.7750  0.3028  0.1472
Nb  0.7250  0.8528  0.6972
Nb  0.2750  0.1472  0.3028
Nb  0.9222  0.8528  0.3028
Ge  0.3375  0.8249  0.5000
Ge  0.2500  0.0000  0.0000
Ge  0.8375  0.5000  0.8249
Ge  0.7500  0.0000  0.0000
Ge  0.6625  0.1751  0.5000
Ge  0.1625  0.5000  0.1751
Tc  0.7500  0.5000  0.5000
Tc  0.2500  0.5000  0.5000



Entry 8:
Computed, not measured: crystalline NbTcGe at its relaxed geometry at the PBE level of DFT.

Results
Energy above the most stable polymorph in this dataset in eV per atom: 0.000
Space-group type: Ima2 (46)
Calculated volume in Å³/cell: 286.2

abc: 6.8159 7.1590 7.6708
angles: 117.82 116.38 90.00
Positions (direct):
Ge  0.4236  0.6636  0.3352
Ge  0.0884  0.8284  0.6648
Ge  0.4236  0.1716  0.3352
Ge  0.0884  0.3364  0.6648
Ge  0.7110  0.2187  0.9374
Ge  0.7736  0.7813  0.0626
Tc  0.7538  0.5875  0.2529
Tc  0.5009  0.8346  0.7471
Tc  0.7538  0.1654  0.2529
Tc  0.5009  0.4125  0.7471
Tc  0.0030  0.5000  0.0000
Tc  0.0030  0.0000  0.0000
Nb  0.3396  0.2485  0.9970
Nb  0.3425  0.7515  0.0030
Nb  0.1879  0.9670  0.4340
Nb  0.7621  0.5563  0.6125
Nb  0.7539  0.0330  0.5660
Nb  0.1496  0.4437  0.3875



Total DFT energy (no corrections)
In order: -103.000 -59.445 -102.606 -25.686 -29.844 -51.239 -136.036 -157.426
Unit: eV per cell